{"formula": "Ho4Al5Si2", "functional": "PBE", "state": "relaxed", "magnetic_moment_mub_per_fu": 0.000, "spacegroup": "P2/m, No. 10", "total_energy_ev_per_atom": -4.860, "lattice_angstrom": [[4.299, 0.000, 0.000], [0.000, 6.823, -0.196], [0.000, 0.720, 7.981]], "species": ["Si", "Al", "Ho", "Si", "Al", "Ho", "Al", "Ho", "Al", "Al", "Ho"], "fractional_positions": [[0.000, 0.918, 0.632], [0.000, 0.500, 0.000], [0.500, 0.788, 0.864], [0.000, 0.082, 0.368], [0.000, 0.861, 0.129], [0.500, 0.761, 0.408], [0.000, 0.139, 0.871], [0.500, 0.239, 0.592], [0.000, 0.453, 0.337], [0.000, 0.547, 0.663], [0.500, 0.212, 0.136]]}



{"formula": "Bi2OsPt2", "functional": "PBE", "state": "relaxed", "polymorph_energy_mev_per_atom": 0, "magnetic_moment_mub_per_fu": 0.829, "spacegroup": "P4/mbm, No. 127", "formation_enthalpy_0k_ev_per_atom": 0.47, "lattice_angstrom": [[-4.328, -2.399, 5.105], [5.559, -0.719, 4.375], [-0.559, 3.876, 1.348]], "species": ["Os", "Bi", "Pt", "Pt", "Pt", "Bi", "Bi", "Bi", "Pt", "Os"], "fractional_positions": [[0.500, 0.500, 0.000], [0.324, 0.176, 0.500], [0.365, 0.865, 0.000], [0.865, 0.635, 0.000], [0.635, 0.135, 0.000], [0.824, 0.324, 0.500], [0.176, 0.676, 0.500], [0.676, 0.824, 0.500], [0.135, 0.365, 0.000], [0.000, 0.000, 0.000]]}